Entry 1:
Here is NaLa3Pm2Te6 after structural relaxation from Alexandria. Energies are from PBE.

Calculated values
The space group is C2/m, No. 12. The value obtained for the uncorrected formation energy is -1.48 eV per atom. Its crystal system is monoclinic.

Geometry as POSCAR:
```
NaLa3Pm2Te6
1.0
4.541 0.000 0.000
0.000 9.054 0.382
-2.270 -2.547 9.542
La Te Pm Na
3 6 2 1
Cartesian
0.000 6.685 3.459
2.270 -0.178 6.465
2.270 4.527 0.191
2.270 4.292 9.757
0.000 6.541 6.722
2.270 -0.034 3.202
0.000 2.084 6.524
2.270 4.423 3.400
0.000 2.215 0.168
2.270 4.267 6.553
0.000 2.240 3.371
2.270 0.000 0.000
```

Entry 2:
Here is CsTlAsF6 after structural relaxation from Alexandria. Energies are from PBE.

Calculated values
The space group is Cm, No. 8. The value obtained for the uncorrected formation energy is -2.21 eV per atom. Its crystal system is monoclinic.

Geometry as POSCAR:
```
CsTlAsF6
1.0
6.200 -0.006 -0.002
3.096 5.376 0.005
0.004 0.002 5.308
F As Tl Cs
6 1 1 1
Cartesian
3.103 3.376 3.524
4.501 2.601 1.373
4.475 0.998 3.521
3.098 0.170 1.376
1.695 2.602 1.379
1.731 0.999 3.527
3.101 1.791 2.445
6.199 3.581 3.479
6.201 -0.006 0.614
```